No. 1
Computed, not measured: a relaxed Li3Pt crystal at the GGA-PBEsol level of DFT.

Computed properties:
ΔE_f = -1.3 eV per formula unit
ΔE to the lowest computed polymorph = 0.13 eV per formula unit
symmetry = R-3m

Lattice parameters (Å, degrees): 4.884 4.884 4.884 116.55 116.55 116.55
Fractional coordinates of all 4 atoms:
Li  0.000  0.500  0.500
Li  0.500  0.000  0.500
Li  0.500  0.500  0.000
Pt  0.000  0.000  0.000


No. 2
Computed, not measured: a relaxed Ca3Fe2Cl2O5 crystal at the GGA-PBEsol level of DFT.

Computed properties:
symmetry = I4/mmm
formation energy (no corrections) = -2.1408 eV per atom

Lattice parameters (Å, degrees): 11.624 11.624 11.624 161.22 161.22 26.68
Fractional coordinates of all 12 atoms:
Ca  0.000  0.000  0.000
Ca  0.152  0.152  0.000
Ca  0.848  0.848  0.000
Fe  0.419  0.419  0.000
Fe  0.581  0.581  0.000
Cl  0.298  0.298  0.000
Cl  0.702  0.702  0.000
O  0.089  0.589  0.500
O  0.411  0.911  0.500
O  0.500  0.500  0.000
O  0.589  0.089  0.500
O  0.911  0.411  0.500


No. 3
Computed, not measured: a relaxed CeSi2Ni2 crystal at the GGA-PBEsol level of DFT.

Computed properties:
symmetry = I4/mmm
formation energy (no corrections) = -0.8408 eV per atom

Lattice parameters (Å, degrees): 5.490 5.490 5.490 137.45 137.45 61.75
Fractional coordinates of all 5 atoms:
Ce  0.000  0.000  0.000
Si  0.372  0.372  0.000
Si  0.628  0.628  0.000
Ni  0.250  0.750  0.500
Ni  0.750  0.250  0.500


No. 4
Computed, not measured: a relaxed LiCuNi crystal at the GGA-PBEsol level of DFT.

Computed properties:
ΔE_f = 0.1 eV per formula unit
ΔE to the lowest computed polymorph = 0.16 eV per formula unit
symmetry = P3m1

Lattice parameters (Å, degrees): 3.975 3.975 2.385 90.00 90.00 120.00
Fractional coordinates of all 3 atoms:
Li  0.000  0.000  0.000
Cu  0.667  0.333  0.719
Ni  0.333  0.667  0.299


no.,E_tot (eV per atom)
1,-3.536
2,-6.690
3,-6.922
4,-4.120